No. 1
Below is TlMo3F after structural relaxation, with properties calculated at the PBE with a Hubbard U level.

Unit cell a=5.5956 b=5.5956 c=5.5956 alpha=90.00 beta=90.00 gamma=90.00
Sites, in units of the cell vectors:
Tl 0.0000 0.0000 0.0000
Mo 0.0000 0.0000 0.5000
Mo 0.0000 0.5000 0.0000
Mo 0.5000 0.0000 0.0000
F 0.5000 0.5000 0.5000

Properties
Symmetry = No. 221
N(E_F) = 2.44 states/eV per cell
VASP energy = -3.53 eV per atom

No. 2
Below is Li2ZnMoF8 after structural relaxation, with properties calculated at the PBE with a Hubbard U level.

Unit cell a=4.7253 b=4.7336 c=6.5417 alpha=89.34 beta=89.36 gamma=87.96
Sites, in units of the cell vectors:
Li 0.0070 0.0067 0.2216
Li 0.9930 0.9933 0.7784
Zn 0.5000 0.5000 0.0000
Mo 0.5000 0.5000 0.5000
F 0.2032 0.8011 0.4998
F 0.2083 0.7944 0.9999
F 0.3011 0.3049 0.7287
F 0.3024 0.3062 0.2630
F 0.6976 0.6938 0.7370
F 0.6989 0.6951 0.2713
F 0.7917 0.2056 0.0001
F 0.7968 0.1989 0.5002

Properties
Symmetry = No. 2
N(E_F) = 0.00 states/eV per cell
VASP energy = -4.87 eV per atom